KPbS3 | PBE | relaxed

The structure in CIF format:
```
data_KPbS3
_chemical_formula_sum 'K1 Pb1 S3'
_symmetry_space_group_name_H-M 'P m -3 m'
_symmetry_Int_Tables_number 221
_symmetry_space_group_name_Hall '-P 4 2 3'
_cell_length_a 5.416
_cell_length_b 5.416
_cell_length_c 5.416
_cell_angle_alpha 90.00
_cell_angle_beta 90.00
_cell_angle_gamma 90.00
loop_
_atom_site_label
_atom_site_fract_x
_atom_site_fract_y
_atom_site_fract_z
K1 0.000 0.000 0.000
Pb1 0.500 0.500 0.500
S1 0.000 0.000 0.500
```

Results
density: 3.6 g/cm3
total energy: -2.70 eV/atom
relative energy among the computed polymorphs: 0.822 eV per atom

NbTl2F7 | PBE | relaxed

The structure in CIF format:
```
data_NbTl2F7
_chemical_formula_sum 'Nb4 Tl8 F28'
_symmetry_space_group_name_H-M 'C 1 2/c 1'
_symmetry_Int_Tables_number 15
_cell_length_a 14.291
_cell_length_b 7.125
_cell_length_c 10.002
_cell_angle_alpha 90.00
_cell_angle_beta 131.17
_cell_angle_gamma 90.00
loop_
_symmetry_equiv_pos_as_xyz
'x,y,z'
'-x,-y,-z'
'-x,y,-z+1/2'
'x,-y,z+1/2'
'x+1/2,y+1/2,z'
'-x+1/2,-y+1/2,-z'
'-x+1/2,y+1/2,-z+1/2'
'x+1/2,-y+1/2,z+1/2'
loop_
_atom_site_label
_atom_site_fract_x
_atom_site_fract_y
_atom_site_fract_z
Nb1 0.000 0.094 0.250
Tl1 0.177 0.438 0.767
F1 0.000 0.382 0.250
F2 0.087 0.147 0.502
F3 0.111 0.132 0.874
F4 0.148 0.159 0.279
```

Results
density: 5.5 g/cm3
total energy: -5.42 eV/atom

Mg9GaPb2 | PBE | relaxed

The structure in CIF format:
```
data_Mg9GaPb2
_chemical_formula_sum 'Mg9 Ga1 Pb2'
_symmetry_space_group_name_H-M 'P 4/m m m'
_symmetry_Int_Tables_number 123
_symmetry_space_group_name_Hall '-P 4 2'
_cell_length_a 4.511
_cell_length_b 4.511
_cell_length_c 13.461
_cell_angle_alpha 90.00
_cell_angle_beta 90.00
_cell_angle_gamma 90.00
loop_
_atom_site_label
_atom_site_fract_x
_atom_site_fract_y
_atom_site_fract_z
Mg1 0.000 0.000 0.000
Mg2 0.000 0.000 0.328
Mg3 0.000 0.500 0.154
Mg4 0.000 0.500 0.500
Ga1 0.500 0.500 0.000
Pb1 0.500 0.500 0.328
```

Results
density: 4.3 g/cm3
total energy: -2.12 eV/atom
energy relative to the elements: -56 meV/atom

Ge2PPdN | PBE | relaxed

The structure in CIF format:
```
data_Ge2PPdN
_chemical_formula_sum 'Ge2 P1 Pd1 N1'
_symmetry_space_group_name_H-M 'P 4/m m m'
_symmetry_Int_Tables_number 123
_symmetry_space_group_name_Hall '-P 4 2'
_cell_length_a 4.880
_cell_length_b 4.880
_cell_length_c 4.449
_cell_angle_alpha 90.00
_cell_angle_beta 90.00
_cell_angle_gamma 90.00
loop_
_atom_site_label
_atom_site_fract_x
_atom_site_fract_y
_atom_site_fract_z
Ge1 0.000 0.500 0.000
P1 0.000 0.000 0.500
Pd1 0.000 0.000 0.000
N1 0.500 0.500 0.500
```

Results
density: 4.7 g/cm3
total energy: -4.18 eV/atom

La3Pr12Zn | PBE | relaxed

The structure in CIF format:
```
data_La3Pr12Zn
_chemical_formula_sum 'La3 Pr12 Zn1'
_symmetry_space_group_name_H-M 'P 4/m m m'
_symmetry_Int_Tables_number 123
_symmetry_space_group_name_Hall '-P 4 2'
_cell_length_a 5.172
_cell_length_b 5.172
_cell_length_c 20.827
_cell_angle_alpha 90.00
_cell_angle_beta 90.00
_cell_angle_gamma 90.00
loop_
_atom_site_label
_atom_site_fract_x
_atom_site_fract_y
_atom_site_fract_z
La1 0.000 0.000 0.000
La2 0.000 0.000 0.257
Pr1 0.000 0.500 0.128
Pr2 0.000 0.500 0.385
Pr3 0.500 0.500 0.000
Pr4 0.500 0.500 0.259
Pr5 0.500 0.500 0.500
Zn1 0.000 0.000 0.500
```

Results
density: 6.5 g/cm3
total energy: -4.57 eV/atom
energy relative to the elements: 14 meV/atom

RePtAu2 | PBE | relaxed

The structure in CIF format:
```
data_RePtAu2
_chemical_formula_sum 'Re2 Pt2 Au4'
_symmetry_space_group_name_H-M 'I -4 m 2'
_symmetry_Int_Tables_number 119
_symmetry_space_group_name_Hall 'I -4 -2'
_cell_length_a 4.099
_cell_length_b 4.099
_cell_length_c 7.813
_cell_angle_alpha 90.00
_cell_angle_beta 90.00
_cell_angle_gamma 90.00
loop_
_atom_site_label
_atom_site_fract_x
_atom_site_fract_y
_atom_site_fract_z
Re1 0.000 0.000 0.000
Pt1 0.000 0.500 0.250
Au1 0.000 0.000 0.500
Au2 0.000 0.500 0.750
```

Results
density: 19.6 g/cm3
total energy: -5.80 eV/atom
relative energy among the computed polymorphs: 0.339 eV per atom
energy relative to the elements: 458 meV/atom

LiPaAlGa | PBE | relaxed

The structure in CIF format:
```
data_LiPaAlGa
_chemical_formula_sum 'Li4 Pa4 Al4 Ga4'
_symmetry_space_group_name_H-M 'F -4 3 m'
_symmetry_Int_Tables_number 216
_symmetry_space_group_name_Hall 'F -4 2 3'
_cell_length_a 6.838
_cell_length_b 6.838
_cell_length_c 6.838
_cell_angle_alpha 90.00
_cell_angle_beta 90.00
_cell_angle_gamma 90.00
loop_
_atom_site_label
_atom_site_fract_x
_atom_site_fract_y
_atom_site_fract_z
Li1 0.000 0.000 0.000
Pa1 0.000 0.000 0.500
Al1 0.250 0.250 0.750
Ga1 0.250 0.250 0.250
```

Results
density: 7.0 g/cm3
total energy: -4.62 eV/atom
energy relative to the elements: -75 meV/atom

KHgSe2Br | PBE | relaxed

The structure in CIF format:
```
data_KHgSe2Br
_chemical_formula_sum 'K1 Hg1 Se2 Br1'
_symmetry_space_group_name_H-M 'P 4/m m m'
_symmetry_Int_Tables_number 123
_symmetry_space_group_name_Hall '-P 4 2'
_cell_length_a 6.457
_cell_length_b 6.457
_cell_length_c 6.092
_cell_angle_alpha 90.00
_cell_angle_beta 90.00
_cell_angle_gamma 90.00
loop_
_atom_site_label
_atom_site_fract_x
_atom_site_fract_y
_atom_site_fract_z
K1 0.000 0.000 0.000
Hg1 0.500 0.500 0.500
Se1 0.000 0.500 0.000
Br1 0.000 0.000 0.500
```

Results
density: 3.1 g/cm3
total energy: -1.64 eV/atom
relative energy among the computed polymorphs: 0.643 eV per atom

KIn2PbI4 | PBE | relaxed

The structure in CIF format:
```
data_KIn2PbI4
_chemical_formula_sum 'K1 In2 Pb1 I4'
_symmetry_space_group_name_H-M 'P 1 2/m 1'
_symmetry_Int_Tables_number 10
_cell_length_a 8.161
_cell_length_b 5.503
_cell_length_c 8.288
_cell_angle_alpha 90.00
_cell_angle_beta 115.22
_cell_angle_gamma 90.00
loop_
_symmetry_equiv_pos_as_xyz
'x,y,z'
'-x,-y,-z'
'-x,y,-z'
'x,-y,z'
loop_
_atom_site_label
_atom_site_fract_x
_atom_site_fract_y
_atom_site_fract_z
K1 0.000 0.000 0.000
In1 0.000 0.500 0.500
In2 0.500 0.000 0.500
Pb1 0.500 0.500 0.000
I1 0.261 0.500 0.242
I2 0.264 0.000 0.761
```

Results
density: 4.9 g/cm3
total energy: -2.65 eV/atom

Rb9SeI3O2 | PBE | relaxed

The structure in CIF format:
```
data_Rb9SeI3O2
_chemical_formula_sum 'Rb9 Se1 I3 O2'
_symmetry_space_group_name_H-M 'P -3 m 1'
_symmetry_Int_Tables_number 164
_symmetry_space_group_name_Hall '-P 3 2"'
_cell_length_a 8.2499
_cell_length_b 8.2499
_cell_length_c 10.8108
_cell_angle_alpha 90.00
_cell_angle_beta 90.00
_cell_angle_gamma 120.00
loop_
_atom_site_label
_atom_site_fract_x
_atom_site_fract_y
_atom_site_fract_z
Rb1 0.0000 0.5000 0.0000
Rb2 0.1746 0.3492 0.2985
Se1 0.0000 0.0000 0.5000
I1 0.0000 0.0000 0.0000
I2 0.3333 0.6667 0.7153
O1 0.3333 0.6667 0.1544
```

Results
density: 3.3 g/cm3
total energy: -2.95 eV/atom

BaNaLi2 | PBE | relaxed

The structure in CIF format:
```
data_BaNaLi2
_chemical_formula_sum 'Ba3 Na3 Li6'
_symmetry_space_group_name_H-M 'R -3 m'
_symmetry_Int_Tables_number 166
_symmetry_space_group_name_Hall '-R 3 2"'
_cell_length_a 5.3705
_cell_length_b 5.3705
_cell_length_c 18.2797
_cell_angle_alpha 90.00
_cell_angle_beta 90.00
_cell_angle_gamma 120.00
loop_
_atom_site_label
_atom_site_fract_x
_atom_site_fract_y
_atom_site_fract_z
Ba1 0.0000 0.0000 0.0000
Na1 0.0000 0.0000 0.5000
Li1 0.0000 0.0000 0.2046
```

Results
density: 1.9 g/cm3
total energy: -1.69 eV/atom
relative energy among the computed polymorphs: 0.008 eV per atom
energy relative to the elements: 80 meV/atom

Q: Which formula does entry 4 have?
A: Ge2PPdN

Q: Which of these has the lowest total energy?
A: RePtAu2